Record 1
First-principles (PBE-GGA) data for ZnCu124 after structural relaxation, as listed in OQMD via LeMat-Bulk.

Lattice parameters (Å, degrees): 18.070 18.070 18.070 90.00 90.00 90.00
Space group Fm-3m (No. 225)
One atom of each set of equivalent atoms:
Zn  0.000  0.000  0.000
Cu  0.000  0.000  0.200
Cu  0.000  0.000  0.400
Cu  0.000  0.100  0.100
Cu  0.000  0.100  0.300
Cu  0.000  0.200  0.200
Cu  0.100  0.100  0.200
Cu  0.100  0.100  0.400
Cu  0.100  0.200  0.300
Cu  0.200  0.200  0.200

Results
- theoretical density (Mg/m³) = 8.9


Record 2
First-principles (PBE-GGA) data for ZnCu10 after structural relaxation, as listed in OQMD via LeMat-Bulk.

Lattice parameters (Å, degrees): 8.032 3.513 27.726 90.00 90.38 90.00
Space group C2/m (No. 12)
One atom of each set of equivalent atoms:
Zn  0.153  0.000  0.188
Cu  0.048  0.000  0.693
Cu  0.049  0.000  0.396
Cu  0.050  0.500  0.246
Cu  0.050  0.500  0.544
Cu  0.147  0.000  0.783
Cu  0.150  0.000  0.485
Cu  0.150  0.500  0.336
Cu  0.150  0.500  0.633
Cu  0.247  0.500  0.722
Cu  0.249  0.500  0.426

Results
- theoretical density (Mg/m³) = 6.0


Record 3
First-principles (PBE-GGA) data for Zn2Cu after structural relaxation, as listed in OQMD via LeMat-Bulk.

Lattice parameters (Å, degrees): 4.268 8.063 4.590 90.00 90.00 90.00
Space group Pmmn (No. 59, origin choice 2)
One atom of each set of equivalent atoms:
Zn  0.250  0.079  0.091
Zn  0.250  0.250  0.579
Zn  0.250  0.750  0.082
Cu  0.250  0.584  0.583

Results
- theoretical density (Mg/m³) = 8.2


Record 4
First-principles (PBE-GGA) data for ZnCu15 after structural relaxation, as listed in OQMD via LeMat-Bulk.

Lattice parameters (Å, degrees): 7.211 42.129 3.608 90.00 90.00 90.00
Space group Pccm (No. 49)
One atom of each set of equivalent atoms:
Zn  0.133  0.177  0.000
Cu  0.125  0.264  0.000
Cu  0.125  0.307  0.500
Cu  0.125  0.350  0.000
Cu  0.125  0.393  0.500
Cu  0.125  0.436  0.000
Cu  0.125  0.479  0.500
Cu  0.127  0.222  0.500
Cu  0.375  0.307  0.000
Cu  0.375  0.350  0.500
Cu  0.375  0.393  0.000
Cu  0.375  0.436  0.500
Cu  0.375  0.479  0.000
Cu  0.376  0.264  0.500
Cu  0.377  0.221  0.000
Cu  0.378  0.178  0.500

Results
- theoretical density (Mg/m³) = 6.2
- relative energy among the computed polymorphs (eV/atom) = 0.004


Record 5
First-principles (PBE-GGA) data for ZnCu15 after structural relaxation, as listed in OQMD via LeMat-Bulk.

Lattice parameters (Å, degrees): 7.156 2.557 34.068 90.00 90.00 90.00
Space group P2_1/m (No. 11)
One atom of each set of equivalent atoms:
Zn  0.125  0.250  0.218
Cu  0.125  0.250  0.295
Cu  0.125  0.250  0.370
Cu  0.125  0.250  0.444
Cu  0.125  0.250  0.519
Cu  0.125  0.250  0.594
Cu  0.126  0.250  0.669
Cu  0.127  0.250  0.745
Cu  0.375  0.750  0.406
Cu  0.375  0.750  0.481
Cu  0.375  0.750  0.556
Cu  0.375  0.750  0.631
Cu  0.375  0.750  0.705
Cu  0.375  0.750  0.780
Cu  0.376  0.750  0.331
Cu  0.377  0.750  0.255

Results
- theoretical density (Mg/m³) = 5.4
- relative energy among the computed polymorphs (eV/atom) = 0.038


Record 6
First-principles (PBE-GGA) data for Zn4Cu3 after structural relaxation, as listed in OQMD via LeMat-Bulk.

Lattice parameters (Å, degrees): 7.0197 7.0197 4.2826 90.00 90.00 120.00
Space group P6_3/m (No. 176)
One atom of each set of equivalent atoms:
Zn  0.0907  0.6279  0.2500
Zn  0.3333  0.6667  0.7500
Cu  0.0452  0.8131  0.7500

Results
- theoretical density (Mg/m³) = 8.2
- relative energy among the computed polymorphs (eV/atom) = 0.025


Record 7
First-principles (PBE-GGA) data for Zn2Cu after structural relaxation, as listed in OQMD via LeMat-Bulk.

Lattice parameters (Å, degrees): 7.050 4.276 10.695 90.00 100.80 90.00
Space group P2_1/m (No. 11)
One atom of each set of equivalent atoms:
Zn  0.050  0.250  0.318
Zn  0.054  0.250  0.072
Zn  0.062  0.250  0.570
Zn  0.070  0.250  0.819
Zn  0.284  0.750  0.346
Zn  0.285  0.750  0.101
Zn  0.390  0.250  0.487
Zn  0.391  0.250  0.986
Cu  0.280  0.750  0.599
Cu  0.283  0.750  0.846
Cu  0.390  0.250  0.735
Cu  0.392  0.250  0.237

Results
- theoretical density (Mg/m³) = 8.2


Record 8
First-principles (PBE-GGA) data for Zn2Cu after structural relaxation, as listed in OQMD via LeMat-Bulk.

Lattice parameters (Å, degrees): 4.6352 4.6352 4.2403 90.00 90.00 120.00
Space group P-62m (No. 189)
One atom of each set of equivalent atoms:
Zn  0.0000  0.0000  0.0000
Zn  0.0000  0.3386  0.5000
Cu  0.3333  0.6667  0.0000

Results
- theoretical density (Mg/m³) = 8.2


Record 9
First-principles (PBE-GGA) data for Zn2Cu after structural relaxation, as listed in OQMD via LeMat-Bulk.

Lattice parameters (Å, degrees): 6.950 6.950 6.950 90.00 90.00 90.00
Space group Fd-3m (No. 227, origin choice 2)
One atom of each set of equivalent atoms:
Zn  0.000  0.000  0.000
Cu  0.125  0.125  0.625

Results
- theoretical density (Mg/m³) = 7.7


Record 10
First-principles (PBE-GGA) data for Zn8Cu5 after structural relaxation, as listed in OQMD via LeMat-Bulk.

Lattice parameters (Å, degrees): 8.832 8.832 8.832 90.00 90.00 90.00
Space group I-43m (No. 217)
One atom of each set of equivalent atoms:
Zn  0.034  0.314  0.686
Zn  0.110  0.110  0.890
Cu  0.000  0.000  0.356
Cu  0.172  0.172  0.172

Results
- theoretical density (Mg/m³) = 8.1


Record 11
First-principles (PBE-GGA) data for ZnCu15 after structural relaxation, as listed in OQMD via LeMat-Bulk.

Lattice parameters (Å, degrees): 5.100 2.549 42.175 90.00 90.00 90.00
Space group P2_1/m (No. 11)
One atom of each set of equivalent atoms:
Zn  0.125  0.250  0.177
Cu  0.125  0.250  0.264
Cu  0.125  0.250  0.350
Cu  0.125  0.250  0.436
Cu  0.125  0.250  0.521
Cu  0.125  0.250  0.607
Cu  0.125  0.250  0.693
Cu  0.128  0.250  0.779
Cu  0.375  0.750  0.307
Cu  0.375  0.750  0.393
Cu  0.375  0.750  0.479
Cu  0.375  0.750  0.564
Cu  0.375  0.750  0.650
Cu  0.375  0.750  0.736
Cu  0.375  0.750  0.822
Cu  0.378  0.750  0.221

Results
- theoretical density (Mg/m³) = 6.2
- relative energy among the computed polymorphs (eV/atom) = 0.005


Number 1: DFT formation energy -3.1 meV per atom. Number 2: DFT formation energy 88.2 meV per atom. Number 3: DFT formation energy -65.1 meV per atom. Number 4: DFT formation energy 49.0 meV per atom. Number 5: DFT formation energy 82.7 meV per atom. Number 6: DFT formation energy -53.5 meV per atom. Number 7: DFT formation energy -50.6 meV per atom. Number 8: DFT formation energy -67.8 meV per atom. Number 9: DFT formation energy 81.8 meV per atom. Number 10: DFT formation energy -105.7 meV per atom. Number 11: DFT formation energy 49.3 meV per atom.